DFT (GGA-PBE) results for Nd6YEr5 after structural relaxation.

D(E_F) = 12.8 states/eV/f.u.
ΔE_f = 0.012 eV per atom
Electronic total energy = -57.7 eV per cell
E above lowest polymorph = 0.000 eV per atom

The structure in POSCAR format:
```
Nd6YEr5
1.0
-1.961 11.580 -1.133
-6.199 -0.010 -0.856
-3.839 0.394 4.924
Nd Er Y
6 5 1
Direct
0.251 0.582 0.334 Nd
0.749 0.749 0.000 Nd
0.749 0.418 0.666 Nd
0.749 0.083 0.334 Nd
0.251 0.251 0.000 Nd
0.251 0.917 0.666 Nd
0.500 0.167 0.667 Er
0.500 0.833 0.333 Er
0.500 0.500 0.000 Er
0.000 0.333 0.333 Er
0.000 0.667 0.667 Er
0.000 0.000 0.000 Y
```